Computed, not measured: a relaxed In2BiCl8 crystal at the PBE-GGA level of DFT.

Computed properties:
* total magnetization: 0.091 μB per atom
* uncorrected formation energy: -0.914 eV per atom
* uncorrected energy: -0.1142 hartree per atom

The structure in CIF format:
```
data_In2BiCl8
_chemical_formula_sum 'In4 Bi2 Cl16'
_cell_length_a 13.1703
_cell_length_b 7.9184
_cell_length_c 8.0093
_cell_angle_alpha 90.00
_cell_angle_beta 92.56
_cell_angle_gamma 90.00
_space_group_name_H-M_alt 'C 1 2/m 1'
_space_group_IT_number 12
loop_
_space_group_symop_operation_xyz
'x,y,z'
'-x,-y,-z'
'-x,y,-z'
'x,-y,z'
'x+1/2,y+1/2,z'
'-x+1/2,-y+1/2,-z'
'-x+1/2,y+1/2,-z'
'x+1/2,-y+1/2,z'
loop_
_atom_site_label
_atom_site_type_symbol
_atom_site_fract_x
_atom_site_fract_y
_atom_site_fract_z
_atom_site_occupancy
In1 In 0.2131 0.0000 0.1875 1
Bi1 Bi 0.0000 0.0000 0.5000 1
Cl1 Cl 0.1144 0.5000 0.7324 1
Cl2 Cl 0.1195 0.2266 0.3306 1
Cl3 Cl 0.1684 0.0000 0.8993 1
```

---

Computed, not measured: a relaxed Dy4NiBi crystal at the PBE-GGA level of DFT.

Computed properties:
* total magnetization: 0.000 μB per atom
* uncorrected energy: -0.1828 hartree per atom
* energy of formation: -28 kJ per mole of atoms

The structure in CIF format:
```
data_Dy4NiBi
_chemical_formula_sum 'Dy16 Ni4 Bi4'
_cell_length_a 5.3582
_cell_length_b 19.8709
_cell_length_c 6.4434
_cell_angle_alpha 90.00
_cell_angle_beta 90.00
_cell_angle_gamma 90.00
_space_group_name_H-M_alt 'C m c 21'
_space_group_IT_number 36
loop_
_space_group_symop_operation_xyz
'x,y,z'
'-x,-y,z+1/2'
'-x,y,z'
'x,-y,z+1/2'
'x+1/2,y+1/2,z'
'-x+1/2,-y+1/2,z+1/2'
'-x+1/2,y+1/2,z'
'x+1/2,-y+1/2,z+1/2'
loop_
_atom_site_label
_atom_site_type_symbol
_atom_site_fract_x
_atom_site_fract_y
_atom_site_fract_z
_atom_site_occupancy
Dy1 Dy 0.0000 0.0455 0.0000 1
Dy2 Dy 0.0000 0.1953 0.2529 1
Dy3 Dy 0.0000 0.1955 0.7495 1
Dy4 Dy 0.0000 0.4003 0.0012 1
Ni1 Ni 0.0000 0.0851 0.5020 1
Bi1 Bi 0.0000 0.3499 0.5011 1
```

---

Computed, not measured: a relaxed Ac4HIr2 crystal at the PBE-GGA level of DFT.

Computed properties:
* total magnetization: 0.000 μB per atom
* uncorrected energy: -0.2162 hartree per atom

The structure in CIF format:
```
data_Ac4HIr2
_chemical_formula_sum 'Ac16 H4 Ir8'
_cell_length_a 19.2942
_cell_length_b 4.4101
_cell_length_c 12.5851
_cell_angle_alpha 90.00
_cell_angle_beta 122.11
_cell_angle_gamma 90.00
_space_group_name_H-M_alt 'C 1 2/m 1'
_space_group_IT_number 12
loop_
_space_group_symop_operation_xyz
'x,y,z'
'-x,-y,-z'
'-x,y,-z'
'x,-y,z'
'x+1/2,y+1/2,z'
'-x+1/2,-y+1/2,-z'
'-x+1/2,y+1/2,-z'
'x+1/2,-y+1/2,z'
loop_
_atom_site_label
_atom_site_type_symbol
_atom_site_fract_x
_atom_site_fract_y
_atom_site_fract_z
_atom_site_occupancy
Ac1 Ac 0.0580 0.0000 0.2558 1
Ac2 Ac 0.0815 0.5000 0.6675 1
Ac3 Ac 0.1859 0.0000 0.0532 1
Ac4 Ac 0.2342 0.0000 0.6194 1
H1 H 0.1837 0.0000 0.2567 1
Ir1 Ir 0.1144 0.5000 0.4357 1
Ir2 Ir 0.1909 0.0000 0.8174 1
```

---

Computed, not measured: a relaxed Pu5Rh2Au crystal at the PBE-GGA level of DFT.

Computed properties:
* total magnetization: 3.568 μB per atom
* uncorrected energy: -0.4243 hartree per atom
* energy of formation: -33 kJ per mole of atoms

The structure in CIF format:
```
data_Pu5Rh2Au
_chemical_formula_sum 'Pu20 Rh8 Au4'
_cell_length_a 7.6611
_cell_length_b 7.6611
_cell_length_c 12.8632
_cell_angle_alpha 90.00
_cell_angle_beta 90.00
_cell_angle_gamma 90.00
_space_group_name_H-M_alt 'I 4/m c m'
_space_group_IT_number 140
_space_group_name_Hall '-I 4 2c'
loop_
_atom_site_label
_atom_site_type_symbol
_atom_site_fract_x
_atom_site_fract_y
_atom_site_fract_z
_atom_site_occupancy
Pu1 Pu 0.0000 0.0000 0.0000 1
Pu2 Pu 0.1584 0.3416 0.1453 1
Rh1 Rh 0.1413 0.3587 0.5000 1
Au1 Au 0.0000 0.0000 0.2500 1
```

---

Computed, not measured: a relaxed Tc2Pd2Ru crystal at the PBE-GGA level of DFT.

Computed properties:
* total magnetization: 0.000 μB per atom
* uncorrected energy: -0.2959 hartree per atom
* energy of formation: 3 kJ per mole of atoms

The structure in CIF format:
```
data_Tc2Pd2Ru
_chemical_formula_sum 'Tc8 Pd8 Ru4'
_cell_length_a 3.8671
_cell_length_b 19.6347
_cell_length_c 3.8751
_cell_angle_alpha 90.00
_cell_angle_beta 90.00
_cell_angle_gamma 90.00
_space_group_name_H-M_alt 'C m c m'
_space_group_IT_number 63
_space_group_name_Hall '-C 2c 2'
loop_
_atom_site_label
_atom_site_type_symbol
_atom_site_fract_x
_atom_site_fract_y
_atom_site_fract_z
_atom_site_occupancy
Tc1 Tc 0.0000 0.1553 0.2500 1
Tc2 Tc 0.0000 0.2504 0.7500 1
Pd1 Pd 0.0000 0.0540 0.7500 1
Pd2 Pd 0.0000 0.4466 0.7500 1
Ru1 Ru 0.0000 0.3476 0.2500 1
```

---

Computed, not measured: a relaxed La3AgOs crystal at the PBE-GGA level of DFT.

Computed properties:
* total magnetization: 0.000 μB per atom
* uncorrected energy: -0.2134 hartree per atom
* energy of formation: -3 kJ per mole of atoms

The structure in CIF format:
```
data_La3AgOs
_chemical_formula_sum 'La3 Ag1 Os1'
_cell_length_a 5.5839
_cell_length_b 5.5839
_cell_length_c 5.5839
_cell_angle_alpha 90.00
_cell_angle_beta 90.00
_cell_angle_gamma 90.00
_space_group_name_H-M_alt 'P m -3 m'
_space_group_IT_number 221
_space_group_name_Hall '-P 4 2 3'
loop_
_atom_site_label
_atom_site_type_symbol
_atom_site_fract_x
_atom_site_fract_y
_atom_site_fract_z
_atom_site_occupancy
La1 La 0.0000 0.0000 0.5000 1
Ag1 Ag 0.5000 0.5000 0.5000 1
Os1 Os 0.0000 0.0000 0.0000 1
```

---

Computed, not measured: a relaxed CdCuPt2 crystal at the PBE-GGA level of DFT.

Computed properties:
* total magnetization: 0.000 μB per atom
* uncorrected energy: -0.1595 hartree per atom
* energy of formation: -6 kJ per mole of atoms

The structure in CIF format:
```
data_CdCuPt2
_chemical_formula_sum 'Cd3 Cu3 Pt6'
_cell_length_a 2.8346
_cell_length_b 2.8346
_cell_length_c 27.2959
_cell_angle_alpha 90.00
_cell_angle_beta 90.00
_cell_angle_gamma 120.00
_space_group_name_H-M_alt 'R 3 m'
_space_group_IT_number 160
_space_group_name_Hall 'R 3 -2"'
loop_
_atom_site_label
_atom_site_type_symbol
_atom_site_fract_x
_atom_site_fract_y
_atom_site_fract_z
_atom_site_occupancy
Cd1 Cd 0.0000 0.0000 0.0000 1
Cu1 Cu 0.0000 0.0000 0.2500 1
Pt1 Pt 0.0000 0.0000 0.5074 1
Pt2 Pt 0.0000 0.0000 0.7540 1
```

---

Computed, not measured: a relaxed Tb3Ce4YTe8 crystal at the PBE-GGA level of DFT.

Computed properties:
* total magnetization: 0.312 μB per atom
* uncorrected formation energy: -1.351 eV per atom
* uncorrected energy: -0.2086 hartree per atom

The structure in CIF format:
```
data_Tb3Ce4YTe8
_chemical_formula_sum 'Tb9 Ce12 Y3 Te24'
_cell_length_a 8.7958
_cell_length_b 8.7958
_cell_length_c 22.0341
_cell_angle_alpha 90.00
_cell_angle_beta 90.00
_cell_angle_gamma 120.00
_space_group_name_H-M_alt 'R -3 m'
_space_group_IT_number 166
_space_group_name_Hall '-R 3 2"'
loop_
_atom_site_label
_atom_site_type_symbol
_atom_site_fract_x
_atom_site_fract_y
_atom_site_fract_z
_atom_site_occupancy
Tb1 Tb 0.0000 0.5000 0.0000 1
Ce1 Ce 0.0000 0.0000 0.5000 1
Ce2 Ce 0.0000 0.5000 0.5000 1
Y1 Y 0.0000 0.0000 0.0000 1
Te1 Te 0.0000 0.0000 0.2533 1
Te2 Te 0.9996 0.4998 0.2534 1
```

---

Computed, not measured: a relaxed HoErSn2 crystal at the PBE-GGA level of DFT.

Computed properties:
* total magnetization: 0.000 μB per atom
* uncorrected energy: -0.1763 hartree per atom
* energy of formation: -49 kJ per mole of atoms

The structure in CIF format:
```
data_HoErSn2
_chemical_formula_sum 'Ho3 Er3 Sn6'
_cell_length_a 3.8186
_cell_length_b 3.8186
_cell_length_c 26.7696
_cell_angle_alpha 90.00
_cell_angle_beta 90.00
_cell_angle_gamma 120.00
_space_group_name_H-M_alt 'R -3 m'
_space_group_IT_number 166
_space_group_name_Hall '-R 3 2"'
loop_
_atom_site_label
_atom_site_type_symbol
_atom_site_fract_x
_atom_site_fract_y
_atom_site_fract_z
_atom_site_occupancy
Ho1 Ho 0.0000 0.0000 0.0000 1
Er1 Er 0.0000 0.0000 0.5000 1
Sn1 Sn 0.0000 0.0000 0.2497 1
```

---

Computed, not measured: a relaxed CdSbW crystal at the PBE-GGA level of DFT.

Computed properties:
* total magnetization: 0.153 μB per atom
* uncorrected formation energy: 1.115 eV per atom
* uncorrected energy: -0.1794 hartree per atom

The structure in CIF format:
```
data_CdSbW
_chemical_formula_sum 'Cd4 Sb4 W4'
_cell_length_a 6.5149
_cell_length_b 6.5149
_cell_length_c 6.5149
_cell_angle_alpha 90.00
_cell_angle_beta 90.00
_cell_angle_gamma 90.00
_space_group_name_H-M_alt 'F -4 3 m'
_space_group_IT_number 216
_space_group_name_Hall 'F -4 2 3'
loop_
_atom_site_label
_atom_site_type_symbol
_atom_site_fract_x
_atom_site_fract_y
_atom_site_fract_z
_atom_site_occupancy
Cd1 Cd 0.0000 0.0000 0.0000 1
Sb1 Sb 0.2500 0.2500 0.2500 1
W1 W 0.0000 0.0000 0.5000 1
```

---

Computed, not measured: a relaxed TiCdInBr6 crystal at the PBE-GGA level of DFT.

Computed properties:
* total magnetization: 0.111 μB per atom
* uncorrected formation energy: -0.942 eV per atom
* uncorrected energy: -0.1228 hartree per atom

The structure in CIF format:
```
data_TiCdInBr6
_chemical_formula_sum 'Ti1 Cd1 In1 Br6'
_cell_length_a 7.0783
_cell_length_b 7.0783
_cell_length_c 7.0643
_cell_angle_alpha 90.00
_cell_angle_beta 90.00
_cell_angle_gamma 120.00
_space_group_name_H-M_alt 'P 3 1 2'
_space_group_IT_number 149
loop_
_space_group_symop_operation_xyz
'x,y,z'
'-y,x-y,z'
'-x+y,-x,z'
'-y,-x,-z'
'-x+y,y,-z'
'x,x-y,-z'
loop_
_atom_site_label
_atom_site_type_symbol
_atom_site_fract_x
_atom_site_fract_y
_atom_site_fract_z
_atom_site_occupancy
Ti1 Ti 0.0000 0.0000 0.0000 1
Cd1 Cd 0.6667 0.3333 0.0000 1
In1 In 0.3333 0.6667 0.5000 1
Br1 Br 0.3103 0.0276 0.2163 1
```

---

Computed, not measured: a relaxed InFe2Ir crystal at the PBE-GGA level of DFT.

Computed properties:
* total magnetization: 1.341 μB per atom
* uncorrected energy: -0.2590 hartree per atom
* energy of formation: 8 kJ per mole of atoms

The structure in CIF format:
```
data_InFe2Ir
_chemical_formula_sum 'In4 Fe8 Ir4'
_cell_length_a 6.1776
_cell_length_b 6.1776
_cell_length_c 6.1776
_cell_angle_alpha 90.00
_cell_angle_beta 90.00
_cell_angle_gamma 90.00
_space_group_name_H-M_alt 'F -4 3 m'
_space_group_IT_number 216
_space_group_name_Hall 'F -4 2 3'
loop_
_atom_site_label
_atom_site_type_symbol
_atom_site_fract_x
_atom_site_fract_y
_atom_site_fract_z
_atom_site_occupancy
In1 In 0.0000 0.0000 0.0000 1
Fe1 Fe 0.0000 0.0000 0.5000 1
Fe2 Fe 0.2500 0.2500 0.7500 1
Ir1 Ir 0.2500 0.2500 0.2500 1
```